# 1
First-principles (GGA-PBE) data for a relaxed structure of PmVSe2, as listed in Alexandria.

Properties
Formation energy from raw total energies ... -629 meV per atom

Unit cell a=3.7804 b=3.7804 c=8.8159 alpha=77.62 beta=77.62 gamma=60.00
With the nearest neighbours (Å) after each atom.
Sites, in units of the cell vectors:
V: 0.5000 0.5000 0.5000  6 Se 2.59
Se: 0.1120 0.1120 0.6639  3 V 2.59, 1 Pm 2.87
Se: 0.8880 0.8880 0.3361  3 V 2.59, 1 Pm 2.87
Pm: 0.0000 0.0000 0.0000  2 Se 2.87

***

# 2
First-principles (GGA-PBE) data for a relaxed structure of Rb3Ba2S2I3, as listed in Alexandria.

Properties
Formation energy from raw total energies ... -1570 meV per atom

Unit cell a=5.7957 b=5.7957 c=15.9837 alpha=100.45 beta=100.45 gamma=90.00
With the nearest neighbours (Å) after each atom.
Sites, in units of the cell vectors:
Rb: 0.8846 0.8846 0.7692  1 S 3.18
Rb: 0.5000 0.5000 0.0000  6 I 3.86-4.10
Rb: 0.1154 0.1154 0.2308  1 S 3.18
Ba: 0.7500 0.2500 0.5000  4 S 3.06
Ba: 0.2500 0.7500 0.5000  4 S 3.06
S: 0.7816 0.7816 0.5633  4 Ba 3.06, 1 Rb 3.18
S: 0.2184 0.2184 0.4367  4 Ba 3.06, 1 Rb 3.18
I: 0.6249 0.6249 0.2499  5 Rb 3.86-4.11
I: 0.3751 0.3751 0.7501  5 Rb 3.86-4.11
I: 0.0000 0.0000 0.0000  2 Rb 3.57

***

# 3
First-principles (GGA-PBE) data for a relaxed structure of GdTlAs2, as listed in Alexandria.

Properties
Calculated formation energy ... -465 meV per atom

Unit cell a=4.2830 b=4.2830 c=7.1133 alpha=72.48 beta=72.48 gamma=60.00
With the nearest neighbours (Å) after each atom.
Sites, in units of the cell vectors:
Tl: 0.5000 0.5000 0.5000  6 As 3.04
Gd: 0.0000 0.0000 0.0000  6 As 2.93
As: 0.2547 0.2547 0.2359  3 Gd 2.93, 3 Tl 3.04
As: 0.7453 0.7453 0.7641  3 Gd 2.93, 3 Tl 3.04

***

# 4
First-principles (GGA-PBE) data for a relaxed structure of Ac2PdPt, as listed in Alexandria.

Properties
Calculated formation energy ... -912 meV per atom

Unit cell a=4.3413 b=4.3413 c=7.9242 alpha=74.10 beta=74.10 gamma=60.00
With the nearest neighbours (Å) after each atom.
Sites, in units of the cell vectors:
Ac: 0.0783 0.0783 0.7652  3 Pt 3.07, 3 Pd 3.21
Ac: 0.2545 0.2545 0.2365  3 Pt 3.07, 3 Pd 3.19
Pd: 0.5006 0.5006 0.4983  6 Ac 3.19-3.21
Pt: 0.6666 0.6666 0.0001  6 Ac 3.07

***

Size of the total moment
In order: 2.3, 0.0, 6.9, 0.0
Unit: μB/f.u.
Raw total energy
In order: -5.839, -3.535, -6.901, -5.774
Unit: eV per atom